(1)
DFT (PBE) results for a relaxed Cs2BaNa9 crystal.

Cell and atoms, written as POSCAR:
```
Cs2BaNa9
1.0
7.4733 0.0000 0.0000
3.7367 6.4721 0.0000
3.7367 2.1574 12.1750
Na Cs Ba
9 2 1
Cartesian
9.3305 3.2424 2.8158
9.3305 5.3870 9.3591
7.4733 6.4592 2.8158
11.2100 6.4721 12.1543
7.4733 4.3147 6.0875
7.4733 2.1702 9.3591
5.6161 3.2424 2.8158
5.6161 5.3870 9.3591
3.7367 2.1574 0.0206
3.7367 2.1574 7.0594
11.2099 6.4721 5.1156
0.0000 0.0000 0.0000
```

Summary:
Space-group type: No. 166
Crystal system: trigonal
Energy relative to the elements, eV/f.u.: 0.28
Density, g/cm3: 1.7

(2)
DFT (PBE) results for a relaxed Pr12Si6Ge crystal.

Cell and atoms, written as POSCAR:
```
Pr12Si6Ge
1.0
8.9157 0.0000 0.0000
-2.9719 8.4058 0.0000
-2.9719 -4.2029 7.2796
Si Pr Ge
6 12 1
Cartesian
5.2682 1.1460 3.6398
0.6756 5.8266 2.8124
-2.2963 3.0569 3.6398
3.6475 3.7252 0.8274
-0.6756 0.4777 6.4522
2.2963 -1.6237 4.4672
6.0496 2.0266 0.7735
3.0777 6.7226 1.3683
0.6316 3.2632 1.3683
0.1059 3.8595 5.1378
2.3403 0.9397 5.9113
5.3122 -1.3863 5.1378
-3.0777 2.1763 6.5061
-2.3403 5.5892 2.1418
3.6034 3.7563 3.7695
-0.6315 0.4466 3.5102
2.8660 0.3434 2.1418
-0.1058 -2.5197 5.9113
0.0000 0.0000 0.0000
```

Summary:
Space-group type: No. 204
Crystal system: cubic
Density, g/cm3: 5.9
Energy relative to the elements, uncorrected, eV/f.u.: -9.79

Repeat the first record exactly.
DFT (PBE) results for a relaxed Cs2BaNa9 crystal.

Cell and atoms, written as POSCAR:
```
Cs2BaNa9
1.0
7.4733 0.0000 0.0000
3.7367 6.4721 0.0000
3.7367 2.1574 12.1750
Na Cs Ba
9 2 1
Cartesian
9.3305 3.2424 2.8158
9.3305 5.3870 9.3591
7.4733 6.4592 2.8158
11.2100 6.4721 12.1543
7.4733 4.3147 6.0875
7.4733 2.1702 9.3591
5.6161 3.2424 2.8158
5.6161 5.3870 9.3591
3.7367 2.1574 0.0206
3.7367 2.1574 7.0594
11.2099 6.4721 5.1156
0.0000 0.0000 0.0000
```

Summary:
Space-group type: No. 166
Crystal system: trigonal
Energy relative to the elements, eV/f.u.: 0.28
Density, g/cm3: 1.7

> density of number 1 (Cs2BaNa9)?

1.7 g/cm3

> Which value of density does entry 1 give?

1.7 g/cm3